Crystalline Tm3Sc4Tl at its relaxed geometry, computed with GGA-PBE.

Cell and atoms, written as POSCAR:
```
Tm3Sc4Tl
1.0
-2.7769 4.0163 5.1677
2.7769 -4.0163 5.1677
2.7769 4.0163 -5.1677
Tm Sc Tl
3 4 1
Cartesian
0.0000 0.0000 0.0000 Tm
2.7769 2.2833 1.1944 Tm
0.0000 1.7330 6.3622 Tm
1.4048 4.0163 -1.9264 Sc
1.3721 0.0000 3.2414 Sc
0.0000 2.6568 3.2137 Sc
0.0000 5.3757 3.2137 Sc
0.0000 4.0163 0.6213 Tl
```

Output
The symmetry is No. 44. The formation energy comes out at 2.5 eV/f.u.